A plane-wave DFT calculation with PBE with a Hubbard U was carried out for crystalline CaHoCr2O8 at its relaxed geometry.

The space group is I-4m2 (No. 119) and the conventional cell measures 7.228, 7.228 and 6.301 Å, with angles of 90.00, 90.00 and 90.00 degrees. The inequivalent atoms are Ca at (0.000, 0.000, 0.000), Ho at (0.000, 0.500, 0.250), Cr at (0.000, 0.000, 0.500), Cr at (0.000, 0.500, 0.750), O at (0.000, 0.190, 0.334) and O at (0.000, 0.321, 0.916).

Its total energy is -7.24 eV per atom. As for the calculated density: 4.409 g cm⁻³.